1.
Compound: NdTlZnS3
Source: OQMD
Functional: PBE
Structure: relaxed

- crystal system = monoclinic
- offset from the most stable computed form (meV/atom) = 18

Unit cell a=8.102 b=4.066 c=10.403 alpha=90.00 beta=107.36 gamma=90.00
Fractional positions:
1 Nd 0.196 0.250 0.137
2 Nd 0.804 0.750 0.863
3 Tl 0.230 0.750 0.712
4 Tl 0.770 0.250 0.288
5 Zn 0.428 0.750 0.394
6 Zn 0.572 0.250 0.606
7 S 0.047 0.250 0.859
8 S 0.291 0.250 0.439
9 S 0.448 0.750 0.175
10 S 0.552 0.250 0.825
11 S 0.709 0.750 0.561
12 S 0.953 0.750 0.141

2.
Compound: Gd3Hf3FeTe2
Source: OQMD
Functional: PBE
Structure: relaxed

- crystal system = hexagonal
- offset from the most stable computed form (meV/atom) = 330

Unit cell a=8.154 b=8.154 c=3.646 alpha=90.00 beta=90.00 gamma=120.00
Fractional positions:
1 Gd 0.000 0.755 0.000
2 Gd 0.245 0.245 0.000
3 Gd 0.755 0.000 0.000
4 Hf 0.000 0.401 0.500
5 Hf 0.401 0.000 0.500
6 Hf 0.599 0.599 0.500
7 Fe 0.000 0.000 0.500
8 Te 0.333 0.667 0.000
9 Te 0.667 0.333 0.000

3.
Compound: Rb2ReF6
Source: OQMD
Functional: PBE
Structure: relaxed

- uncorrected energy (eV/cell) = -47.69
- crystal system = trigonal

Unit cell a=5.870 b=5.870 c=4.597 alpha=90.00 beta=90.00 gamma=120.00
Fractional positions:
1 Rb 0.333 0.667 0.290
2 Rb 0.667 0.333 0.710
3 Re 0.000 0.000 0.000
4 F 0.164 0.327 0.769
5 F 0.164 0.836 0.769
6 F 0.327 0.164 0.231
7 F 0.673 0.836 0.769
8 F 0.836 0.164 0.231
9 F 0.836 0.673 0.231